[1]
A relaxed NaAg2Pd2 crystal, computed with PBE-GGA.

Cell: 15.5156 5.6180 4.7840 Å, 90.00 104.47 90.00°
Last column: nearest neighbours and their distance in Å.
Space group C2/c (No. 15)
One atom of each set of equivalent atoms:
Na: 0.0000 0.2324 0.2500 (multiplicity 4)  2 Pd 2.83
Ag: 0.1551 0.3708 0.8324 (multiplicity 8)  6 Pd 2.77-2.95, 2 Ag 2.80
Pd: 0.1825 0.1165 0.3457 (multiplicity 8)  3 Pd 2.70-2.73, 6 Ag 2.77-2.95, 1 Na 2.83

Results
energy relative to the elements: -0.007 eV/atom
DOS(E_F): 10.382 states/eV/cell
excess energy over the best structure of this formula in the dataset: 3.9 kJ/mol of atoms
total energy: -3.49 eV/atom

[2]
A relaxed NaAg2Pd6 crystal, computed with PBE-GGA.

Cell: 12.4278 2.8223 8.6111 Å, 90.00 103.78 90.00°
Last column: nearest neighbours and their distance in Å.
Space group C2/m (No. 12)
One atom of each set of equivalent atoms:
Na: 0.0000 0.0000 0.0000 (multiplicity 2)  2 Na 2.82, 6 Pd 2.88-2.91, 4 Ag 2.88
Ag: 0.1678 0.5000 0.2306 (multiplicity 4)  8 Pd 2.76-2.97, 2 Ag 2.82, 2 Na 2.88
Pd: 0.0066 0.0000 0.6681 (multiplicity 4)  9 Pd 2.78-2.86, 1 Na 2.88, 2 Ag 2.89
Pd: 0.1631 0.5000 0.5500 (multiplicity 4)  3 Ag 2.76-2.84, 9 Pd 2.78-2.88
Pd: 0.1721 0.5000 0.8876 (multiplicity 4)  7 Pd 2.78-2.88, 3 Ag 2.82-2.97, 2 Na 2.91

Results
energy relative to the elements: -0.032 eV/atom
DOS(E_F): 22.045 states/eV/cell
total energy: -4.27 eV/atom

[3]
A relaxed Na5Ag6Pd crystal, computed with PBE-GGA.

Cell: 5.2580 9.1196 10.1539 Å, 90.00 99.85 90.00°
Last column: nearest neighbours and their distance in Å.
Space group C2/m (No. 12)
One atom of each set of equivalent atoms:
Na: 0.0000 0.0000 0.0000 (multiplicity 2)  6 Na 3.02-3.05, 6 Ag 3.10-3.14
Na: 0.0000 0.1666 0.5000 (multiplicity 4)  6 Ag 3.02, 3 Pd 3.04, 3 Na 3.04
Na: 0.0000 0.3315 0.0000 (multiplicity 4)  6 Na 3.02-3.07, 6 Ag 3.09-3.14
Ag: 0.2410 0.5000 0.2564 (multiplicity 4)  6 Ag 2.93-3.09, 1 Pd 2.97, 5 Na 3.02-3.14
Ag: 0.2415 0.3392 0.7431 (multiplicity 8)  6 Ag 2.93-3.09, 1 Pd 2.96, 5 Na 3.02-3.14
Pd: 0.0000 0.5000 0.5000 (multiplicity 2)  6 Ag 2.96-2.97, 6 Na 3.04

Results
energy relative to the elements: 0.015 eV/atom
DOS(E_F): 5.903 states/eV/cell
total energy: -2.39 eV/atom

[4]
A relaxed NaAgPd3 crystal, computed with PBE-GGA.

Cell: 5.3811 13.5907 5.1572 Å, 90.00 90.00 90.00°
Last column: nearest neighbours and their distance in Å.
Space group Cmcm (No. 63)
One atom of each set of equivalent atoms:
Na: 0.0000 0.0760 0.2500 (multiplicity 4)  2 Ag 3.03, 10 Pd 3.08-3.34, 2 Na 3.30
Ag: 0.0000 0.3212 0.7500 (multiplicity 4)  8 Pd 2.71-2.93, 2 Na 3.03
Pd: 0.0000 0.5000 0.0000 (multiplicity 4)  6 Pd 2.58-2.74, 2 Ag 2.75
Pd: 0.2481 0.3513 0.2500 (multiplicity 8)  4 Pd 2.67-2.74, 3 Ag 2.71-2.93

Results
energy relative to the elements: 0.051 eV/atom
DOS(E_F): 20.811 states/eV/cell
excess energy over the best structure of this formula in the dataset: 0.0 kJ/mol of atoms
total energy: -3.90 eV/atom